An optimized crystal structure of TaV2Fe. Source: Alexandria via LeMat-Bulk, functional PBE.

Raw total energy (eV/atom): -9.6813
Mass density (g cm⁻³): 10.1
Relative energy among the computed polymorphs (eV/atom): 0.000

The structure in CIF format:
```
data_TaV2Fe
_cell_length_a 3.0195
_cell_length_b 3.0195
_cell_length_c 6.1310
_cell_angle_alpha 90.00
_cell_angle_beta 90.00
_cell_angle_gamma 90.00
_space_group_name_H-M_alt 'P 4/m m m'
_space_group_IT_number 123
_space_group_name_Hall '-P 4 2'
loop_
_atom_site_label
_atom_site_fract_x
_atom_site_fract_y
_atom_site_fract_z
Ta1 0.0000 0.0000 0.0000
V1 0.5000 0.5000 0.2699
Fe1 0.0000 0.0000 0.5000
```

An optimized crystal structure of CaPrZnIr. Source: Alexandria via LeMat-Bulk, functional PBE.

Raw total energy (eV/atom): -4.5847
Mass density (g cm⁻³): 8.0
Relative energy among the computed polymorphs (eV/atom): 0.096

The structure in CIF format:
```
data_CaPrZnIr
_cell_length_a 7.1430
_cell_length_b 7.1430
_cell_length_c 7.1430
_cell_angle_alpha 90.00
_cell_angle_beta 90.00
_cell_angle_gamma 90.00
_space_group_name_H-M_alt 'F -4 3 m'
_space_group_IT_number 216
_space_group_name_Hall 'F -4 2 3'
loop_
_atom_site_label
_atom_site_fract_x
_atom_site_fract_y
_atom_site_fract_z
Ca1 0.0000 0.0000 0.0000
Pr1 0.0000 0.0000 0.5000
Zn1 0.2500 0.2500 0.7500
Ir1 0.2500 0.2500 0.2500
```

Q: Which value of relative energy among the computed polymorphs does entry 2 give?
A: 0.096 eV/atom

Repeat the second record exactly.
An optimized crystal structure of CaPrZnIr. Source: Alexandria via LeMat-Bulk, functional PBE.

Raw total energy (eV/atom): -4.5847
Mass density (g cm⁻³): 8.0
Relative energy among the computed polymorphs (eV/atom): 0.096

The structure in CIF format:
```
data_CaPrZnIr
_cell_length_a 7.1430
_cell_length_b 7.1430
_cell_length_c 7.1430
_cell_angle_alpha 90.00
_cell_angle_beta 90.00
_cell_angle_gamma 90.00
_space_group_name_H-M_alt 'F -4 3 m'
_space_group_IT_number 216
_space_group_name_Hall 'F -4 2 3'
loop_
_atom_site_label
_atom_site_fract_x
_atom_site_fract_y
_atom_site_fract_z
Ca1 0.0000 0.0000 0.0000
Pr1 0.0000 0.0000 0.5000
Zn1 0.2500 0.2500 0.7500
Ir1 0.2500 0.2500 0.2500
```